Entry 1:
LaMnB2Pb (PBEsol, optimized geometry); DFT formation energy = 10.6 eV per formula unit; theoretical density = 5.3 Mg/m³; SG = P4/mmm
1.0
4.703 0.000 0.000
0.000 4.703 0.000
0.000 0.000 6.012
La Mn B Pb
1 1 2 1
direct
0.000 0.000 0.000
0.500 0.500 0.500
0.000 0.500 0.000
0.500 0.000 0.000
0.000 0.000 0.500



Entry 2:
Cr2CdPt (PBEsol, optimized geometry); DFT formation energy = 0.8 eV per formula unit; theoretical density = 11.3 Mg/m³; SG = F-43m
1.0
0.000 3.116 3.116
3.116 0.000 3.116
3.116 3.116 0.000
Cr Cd Pt
2 1 1
direct
0.000 0.000 0.000
0.250 0.250 0.250
0.500 0.500 0.500
0.750 0.750 0.750



Entry 3:
K2AlBSb (PBEsol, optimized geometry); formation energy (no corrections) = 59.84 kJ per mole of atoms; theoretical density = 2.4 Mg/m³; SG = P4/mmm
1.0
6.501 0.000 0.000
0.000 6.501 0.000
0.000 0.000 3.857
K Al B Sb
2 1 1 1
direct
0.000 0.500 0.000
0.500 0.000 0.000
0.000 0.000 0.000
0.000 0.000 0.500
0.500 0.500 0.500



Entry 4:
BaLiMg2 (PBEsol, optimized geometry); DFT formation energy = 0.1 eV per formula unit; theoretical density = 2.4 Mg/m³; distance to the lowest polymorph of the same formula = 20 meV per atom; SG = R-3m
1.0
2.543 1.468 5.853
-2.543 1.468 5.853
0.000 -2.936 5.853
Ba Li Mg
1 1 2
direct
0.000 0.000 0.000
0.500 0.500 0.500
0.201 0.201 0.201
0.799 0.799 0.799



Entry 5:
InTe2RuF (PBEsol, optimized geometry); formation energy (no corrections) = 44.08 kJ per mole of atoms; theoretical density = 7.8 Mg/m³; SG = P4/mmm
1.0
4.746 0.000 0.000
0.000 4.746 0.000
0.000 0.000 4.605
In Te Ru F
1 2 1 1
direct
0.000 0.000 0.000
0.000 0.500 0.500
0.500 0.000 0.500
0.500 0.500 0.000
0.000 0.000 0.500



Entry 6:
InGaAu3 (PBEsol, optimized geometry); DFT formation energy = 3.0 eV per formula unit; theoretical density = 9.6 Mg/m³; SG = Pm-3m
1.0
5.116 0.000 0.000
0.000 5.116 0.000
0.000 0.000 5.116
In Ga Au
1 1 3
direct
0.000 0.000 0.000
0.500 0.500 0.500
0.000 0.000 0.500
0.000 0.500 0.000
0.500 0.000 0.000



Entry 7:
CaCoAsHO5 (PBEsol, optimized geometry); theoretical density = 4.4 Mg/m³; raw total energy = -0.241 Ha/atom; SG = P2_12_12_1
1.0
5.804 0.000 0.000
0.000 7.472 0.000
0.000 0.000 8.975
Ca Co As H O
4 4 4 4 20
direct
0.024 0.126 0.325
0.476 0.874 0.825
0.524 0.374 0.675
0.976 0.626 0.175
0.245 0.257 0.996
0.255 0.743 0.496
0.745 0.243 0.004
0.755 0.757 0.504
0.016 0.624 0.822
0.484 0.376 0.322
0.516 0.876 0.178
0.984 0.124 0.678
0.017 0.981 0.017
0.483 0.019 0.517
0.517 0.519 0.983
0.983 0.481 0.483
0.003 0.099 0.070
0.010 0.944 0.556
0.093 0.794 0.941
0.240 0.153 0.772
0.250 0.389 0.205
0.250 0.611 0.705
0.260 0.847 0.272
0.407 0.206 0.441
0.490 0.056 0.056
0.497 0.901 0.570
0.503 0.401 0.930
0.510 0.556 0.444
0.593 0.706 0.059
0.740 0.347 0.228
0.750 0.111 0.795
0.750 0.889 0.295
0.760 0.653 0.728
0.907 0.294 0.559
0.990 0.444 0.944
0.997 0.599 0.430



Entry 8:
ZrInRu2 (PBEsol, optimized geometry); DFT formation energy = 0.0 eV per formula unit; theoretical density = 10.2 Mg/m³; SG = C2/m
1.0
2.938 -4.320 0.000
2.938 4.320 0.000
-1.233 0.000 2.630
Zr In Ru
1 1 2
direct
0.000 0.000 0.000
0.500 0.500 0.000
0.000 0.500 0.500
0.500 0.000 0.500



Look up the theoretical density of the sixth one.
9.6 Mg/m³



Which formula does entry 4 have?
BaLiMg2